Material: CuSbPt
Method: DFT, PBE
State: relaxed

a b c (Å): 3.9998 3.9998 4.0748
angles (deg): 90.00 90.00 120.00
Last column: nearest neighbours and their distance in Å.
Atoms (fractional coordinates):
1 Cu 0.0000 0.0000 0.0000  3 Pt 2.58, 3 Sb 2.75
2 Sb 0.6667 0.3333 0.6319  3 Pt 2.72, 3 Cu 2.75
3 Pt 0.3333 0.6667 0.2800  3 Cu 2.58, 3 Sb 2.72

Summary:
space group	P3m1 (156)
spin magnetization	0.0	μB/cell
E_tot	-4.75	eV per atom
crystal system	trigonal
density of states at the Fermi level	0.56	states/eV/atom

---

Material: PmMgAl2Ga2
Method: DFT, PBE
State: relaxed

a b c (Å): 4.5392 4.5392 6.7156
angles (deg): 90.00 90.00 120.00
Last column: nearest neighbours and their distance in Å.
Atoms (fractional coordinates):
1 Pm 0.0000 0.0000 0.0000  6 Ga 3.21, 6 Al 3.28, 2 Mg 3.36
2 Mg 0.0000 0.0000 0.5000  6 Al 2.96, 6 Ga 3.02
3 Al 0.3333 0.6667 0.2948  4 Ga 2.62-2.89
4 Al 0.6667 0.3333 0.7052  4 Ga 2.62-2.89
5 Ga 0.3333 0.6667 0.7246  4 Al 2.62-2.89
6 Ga 0.6667 0.3333 0.2754  4 Al 2.62-2.89

Summary:
calculated formation energy	-0.37	eV/atom
space group	P-3m1 (164)
spin magnetization	0.0	μB/cell
E_tot	-3.69	eV per atom
crystal system	trigonal
density of states at the Fermi level	0.60	states/eV/atom